Record 1
Entry from Alexandria via LeMat-Bulk: crystalline DyGaCoCu at its relaxed geometry (PBE-GGA).

The space group is F-43m (No. 216) and the conventional cell measures 6.348, 6.348 and 6.348 Å, with angles of 90.00, 90.00 and 90.00 degrees. Symmetry generates all atoms from Dy at (0.000, 0.000, 0.000), Ga at (0.000, 0.000, 0.500), Co at (0.250, 0.250, 0.750) and Cu at (0.250, 0.250, 0.250).

The value obtained for the raw total energy is -78.53 eV per cell. The crystal system is cubic.

---

Record 2
Entry from Alexandria via LeMat-Bulk: crystalline Ac3InAg3S8 at its relaxed geometry (PBE-GGA).

The space group is C2/m (No. 12) and the conventional cell measures 12.723, 8.720 and 8.006 Å, with angles of 90.00, 119.92 and 90.00 degrees. Symmetry generates all atoms from Ac at (0.000, 0.000, 0.000), Ac at (0.250, 0.250, 0.500), In at (0.000, 0.500, 0.000), Ag at (0.000, 0.500, 0.500), Ag at (0.250, 0.250, 0.000), S at (0.016, 0.273, 0.780), S at (0.237, 0.500, 0.223) and S at (0.241, 0.500, 0.735).

The value obtained for the formation energy without anion corrections is -1066 meV per atom. The value obtained for the raw total energy is -145.25 eV per cell. The crystal system is monoclinic.